1.
Here is a geometry-optimized Cs2YCl structure from Alexandria. Energies are from GGA-PBEsol.

Values from the calculation:
DOS at the Fermi energy: 10.03 states/eV/cell

Cell lengths 5.250, 9.530, 9.530 Å; angles 85.65, 74.01, 74.01 degrees
Element x y z (fractional)
Cs: 0.375 0.357 0.143
Cl: 0.250 0.500 0.500
Cl: 0.500 0.000 0.000
Cs: 0.482 0.143 0.643
Cs: 0.875 0.643 0.857
Cs: 0.268 0.857 0.357
Y: 0.000 0.000 0.000
Y: 0.750 0.500 0.500

---

2.
Here is a geometry-optimized BaPbNF2 structure from Alexandria. Energies are from GGA-PBEsol.

Values from the calculation:
DOS at the Fermi energy: 1.18 states/eV/cell

Cell lengths 4.800, 4.800, 4.920 Å; angles 90.00, 90.00, 90.00 degrees
Element x y z (fractional)
F: 0.500 0.000 0.000
N: 0.000 0.000 0.500
Pb: 0.500 0.500 0.500
Ba: 0.000 0.000 0.000
F: 0.000 0.500 0.000

---

Number 1: E_form (uncorrected) -0.32 eV/atom. Number 2: E_form (uncorrected) -1.00 eV/atom.